Record 1
An optimized crystal structure of NaIr2O6, computed with PBE-GGA.

Properties
Fermi-level density of states ... 4.39 states/eV/cell
Total energy ... -56.5 eV/cell
Symmetry ... P-31m (162)
M_tot ... 0.6 Bohr magnetons per cell
Energy relative to the elements, uncorrected ... -0.8612 eV/atom

a b c (Å): 5.319 5.319 5.038
angles (deg): 90.00 90.00 120.00
Atoms (fractional coordinates):
O: 0.000 0.384 0.707
O: 0.616 0.616 0.707
O: 0.384 0.000 0.707
O: 0.616 0.000 0.293
O: 0.000 0.616 0.293
O: 0.384 0.384 0.293
Na: 0.000 0.000 0.000
Ir: 0.667 0.333 0.500
Ir: 0.333 0.667 0.500


Record 2
An optimized crystal structure of AcLaC, computed with PBE-GGA.

Properties
Fermi-level density of states ... 3.36 states/eV/cell
Total energy ... -35.7 eV/cell
Symmetry ... P2_1/m (11)
M_tot ... 0.0 Bohr magnetons per cell
E above lowest polymorph ... 154 meV per atom

a b c (Å): 3.979 3.979 11.738
angles (deg): 90.00 109.79 90.00
Atoms (fractional coordinates):
La: 0.116 0.750 0.367
La: 0.884 0.250 0.633
C: 0.908 0.750 0.157
C: 0.092 0.250 0.843
Ac: 0.376 0.250 0.126
Ac: 0.624 0.750 0.874


Record 3
An optimized crystal structure of Rb2AcIrO4, computed with PBE-GGA.

Properties
Fermi-level density of states ... 5.45 states/eV/cell
Total energy ... -47.5 eV/cell
Symmetry ... I-4 (82)
M_tot ... 2.0 Bohr magnetons per cell
Energy relative to the elements, uncorrected ... -1.5980 eV/atom

a b c (Å): 5.924 5.924 5.924
angles (deg): 101.72 113.48 113.48
Atoms (fractional coordinates):
O: 0.585 0.276 0.382
O: 0.894 0.618 0.203
O: 0.415 0.797 0.691
O: 0.106 0.309 0.724
Rb: 0.500 0.750 0.250
Rb: 0.000 0.000 0.000
Ac: 0.500 0.250 0.750
Ir: 0.000 0.500 0.500


Record 4
An optimized crystal structure of LiTcI2O, computed with PBE-GGA.

Properties
Fermi-level density of states ... 4.74 states/eV/cell
Total energy ... -23.2 eV/cell
Symmetry ... P4/mmm (123)
M_tot ... 0.0 Bohr magnetons per cell
E above lowest polymorph ... 0 meV per atom
Energy relative to the elements, uncorrected ... -0.5683 eV/atom

a b c (Å): 5.657 5.657 3.771
angles (deg): 90.00 90.00 90.00
Atoms (fractional coordinates):
Tc: 0.000 0.000 0.000
Li: 0.500 0.500 0.500
I: 0.500 0.000 0.000
I: 0.000 0.500 0.000
O: 0.000 0.000 0.500


Record 5
An optimized crystal structure of AgMoRh2, computed with PBE-GGA.

Properties
Fermi-level density of states ... 5.93 states/eV/cell
Total energy ... -27.6 eV/cell
Symmetry ... P4mm (99)
M_tot ... 0.0 Bohr magnetons per cell
E above lowest polymorph ... 216 meV per atom

a b c (Å): 2.730 2.730 8.247
angles (deg): 90.00 90.00 89.96
Atoms (fractional coordinates):
Rh: 0.000 0.000 0.003
Rh: 0.500 0.500 0.237
Mo: 0.500 0.500 0.765
Ag: 0.000 0.000 0.495


Record 6
An optimized crystal structure of Th8AsP4S3, computed with PBE-GGA.

Properties
Fermi-level density of states ... 6.35 states/eV/cell
Total energy ... -124.7 eV/cell
Symmetry ... R-3m (166)
M_tot ... 0.0 Bohr magnetons per cell
Energy relative to the elements, uncorrected ... -1.6651 eV/atom

a b c (Å): 8.245 8.240 8.245
angles (deg): 120.02 120.00 90.00
Atoms (fractional coordinates):
P: 0.500 0.000 0.000
P: 0.500 0.000 0.500
P: 0.000 0.000 0.500
P: 0.000 0.000 0.000
Th: 0.751 0.754 0.503
Th: 0.746 0.244 0.997
Th: 0.254 0.756 0.507
Th: 0.251 0.244 0.997
Th: 0.249 0.246 0.497
Th: 0.746 0.244 0.493
Th: 0.254 0.756 0.003
Th: 0.749 0.756 0.003
As: 0.000 0.500 0.000
S: 0.500 0.500 0.500
S: 0.500 0.500 0.000
S: 0.000 0.500 0.500


Record 7
An optimized crystal structure of LaZr2SnO8, computed with PBE-GGA.

Properties
Fermi-level density of states ... 6.47 states/eV/cell
Total energy ... -97.6 eV/cell
Symmetry ... Cmmm (65)
M_tot ... 1.0 Bohr magnetons per cell
Energy relative to the elements, uncorrected ... -2.6616 eV/atom

a b c (Å): 5.038 5.038 6.823
angles (deg): 90.00 90.00 88.30
Atoms (fractional coordinates):
O: 0.204 0.795 0.782
O: 0.674 0.675 0.500
O: 0.302 0.302 0.000
O: 0.326 0.325 0.500
O: 0.796 0.205 0.782
O: 0.796 0.205 0.218
O: 0.204 0.795 0.218
O: 0.698 0.698 0.000
Zr: 0.500 0.500 0.249
Zr: 0.500 0.500 0.751
Sn: 0.000 0.000 0.000
La: 0.000 0.000 0.500


Record 8
An optimized crystal structure of VSbPCl2, computed with PBE-GGA.

Properties
Fermi-level density of states ... 2.29 states/eV/cell
Total energy ... -19.5 eV/cell
Symmetry ... P4/mmm (123)
M_tot ... 3.3 Bohr magnetons per cell
E above lowest polymorph ... 654 meV per atom
Energy relative to the elements, uncorrected ... 0.5663 eV/atom

a b c (Å): 5.153 5.153 5.309
angles (deg): 90.00 90.00 90.00
Atoms (fractional coordinates):
Cl: 0.000 0.500 0.000
Cl: 0.500 0.000 0.000
P: 0.000 0.000 0.500
V: 0.500 0.500 0.500
Sb: 0.000 0.000 0.000


Record 9
An optimized crystal structure of KHg3Pd, computed with PBE-GGA.

Properties
Fermi-level density of states ... 6.27 states/eV/cell
Total energy ... -3.8 eV/cell
Symmetry ... Pm-3m (221)
M_tot ... 0.0 Bohr magnetons per cell
E above lowest polymorph ... 924 meV per atom

a b c (Å): 6.151 6.151 6.151
angles (deg): 90.00 90.00 90.00
Atoms (fractional coordinates):
Hg: 0.000 0.500 0.000
Hg: 0.000 0.000 0.500
Hg: 0.500 0.000 0.000
K: 0.000 0.000 0.000
Pd: 0.500 0.500 0.500


Record 10
An optimized crystal structure of PmCu3Pd4O12, computed with PBE-GGA.

Properties
Fermi-level density of states ... 12.64 states/eV/cell
Total energy ... -113.4 eV/cell
Symmetry ... Im-3 (204)
M_tot ... 0.0 Bohr magnetons per cell
Energy relative to the elements, uncorrected ... -0.8034 eV/atom

a b c (Å): 6.598 6.598 6.598
angles (deg): 109.47 109.47 109.47
Atoms (fractional coordinates):
Pd: 0.500 0.500 0.500
Pd: 0.000 0.500 0.000
Pd: 0.000 0.000 0.500
Pd: 0.500 0.000 0.000
O: 0.162 0.469 0.307
O: 0.838 0.531 0.693
O: 0.855 0.693 0.162
O: 0.693 0.162 0.855
O: 0.469 0.307 0.162
O: 0.145 0.307 0.838
O: 0.307 0.162 0.469
O: 0.531 0.693 0.838
O: 0.693 0.838 0.531
O: 0.838 0.145 0.307
O: 0.307 0.838 0.145
O: 0.162 0.855 0.693
Cu: 0.000 0.500 0.500
Cu: 0.500 0.500 0.000
Cu: 0.500 0.000 0.500
Pm: 0.000 0.000 0.000


Record 11
An optimized crystal structure of TbGaCuPt2, computed with PBE-GGA.

Properties
Fermi-level density of states ... 2.02 states/eV/cell
Total energy ... -27.8 eV/cell
Symmetry ... I-4m2 (119)
M_tot ... 0.0 Bohr magnetons per cell

a b c (Å): 3.802 3.802 6.864
angles (deg): 106.08 106.08 90.00
Atoms (fractional coordinates):
Pt: 0.608 0.608 0.216
Pt: 0.392 0.392 0.784
Ga: 0.750 0.250 0.500
Cu: 0.250 0.750 0.500
Tb: 0.000 0.000 0.000


Record 12
An optimized crystal structure of Ta7Nb2Ru, computed with PBE-GGA.

Properties
Fermi-level density of states ... 14.63 states/eV/cell
Total energy ... -97.7 eV/cell
Symmetry ... Fm-3m (225)
M_tot ... 0.0 Bohr magnetons per cell
E above lowest polymorph ... 1401 meV per atom

a b c (Å): 6.793 6.793 6.793
angles (deg): 60.00 60.00 60.00
Atoms (fractional coordinates):
Ta: 0.246 0.754 0.246
Ta: 0.246 0.754 0.754
Ta: 0.754 0.246 0.754
Ta: 0.500 0.500 0.500
Ta: 0.754 0.754 0.246
Ta: 0.246 0.246 0.754
Ta: 0.754 0.246 0.246
Ru: 0.000 0.000 0.000
Nb: 0.250 0.250 0.250
Nb: 0.750 0.750 0.750


Record 13
An optimized crystal structure of NbTc2Rh, computed with PBE-GGA.

Properties
Fermi-level density of states ... 10.27 states/eV/cell
Total energy ... -72.9 eV/cell
Symmetry ... I-42d (122)
M_tot ... 0.0 Bohr magnetons per cell
E above lowest polymorph ... 567 meV per atom

a b c (Å): 3.694 3.694 10.066
angles (deg): 79.43 79.43 90.00
Atoms (fractional coordinates):
Nb: 0.500 0.500 0.000
Nb: 0.250 0.750 0.500
Tc: 0.875 0.856 0.750
Tc: 0.606 0.125 0.250
Tc: 0.144 0.625 0.250
Tc: 0.375 0.394 0.750
Rh: 0.750 0.250 0.500
Rh: 0.000 0.000 0.000


Record 14
An optimized crystal structure of EuCoB2, computed with PBE-GGA.

Properties
Fermi-level density of states ... 2.61 states/eV/cell
Total energy ... -31.4 eV/cell
Symmetry ... R-3m (166)
M_tot ... 7.4 Bohr magnetons per cell

a b c (Å): 3.455 3.455 5.420
angles (deg): 71.41 71.41 60.00
Atoms (fractional coordinates):
Co: 0.000 0.000 0.000
B: 0.683 0.683 0.952
B: 0.317 0.317 0.048
Eu: 0.500 0.500 0.500


Record 15
An optimized crystal structure of LiNdSmBe, computed with PBE-GGA.

Properties
Fermi-level density of states ... 5.86 states/eV/cell
Total energy ... -14.5 eV/cell
Symmetry ... F-43m (216)
M_tot ... 0.0 Bohr magnetons per cell

a b c (Å): 5.122 5.122 5.122
angles (deg): 60.00 60.00 60.00
Atoms (fractional coordinates):
Nd: 0.250 0.250 0.250
Be: 0.500 0.500 0.500
Sm: 0.750 0.750 0.750
Li: 0.000 0.000 0.000


Record 16
An optimized crystal structure of ZnAsN2O, computed with PBE-GGA.

Properties
Fermi-level density of states ... 2.44 states/eV/cell
Total energy ... -23.5 eV/cell
Symmetry ... P4/mmm (123)
M_tot ... 0.7 Bohr magnetons per cell
Energy relative to the elements, uncorrected ... 0.8071 eV/atom

a b c (Å): 3.761 3.761 3.747
angles (deg): 90.00 90.00 90.00
Atoms (fractional coordinates):
Zn: 0.500 0.500 0.500
O: 0.000 0.000 0.500
N: 0.000 0.500 0.000
N: 0.500 0.000 0.000
As: 0.000 0.000 0.000


Record 17
An optimized crystal structure of Sm2TmAu, computed with PBE-GGA.

Properties
Fermi-level density of states ... 5.91 states/eV/cell
Total energy ... -18.6 eV/cell
Symmetry ... P4/mmm (123)
M_tot ... 0.0 Bohr magnetons per cell
E above lowest polymorph ... 57 meV per atom

a b c (Å): 3.693 3.693 8.388
angles (deg): 90.00 90.00 90.00
Atoms (fractional coordinates):
Sm: 0.000 0.000 0.213
Sm: 0.000 0.000 0.787
Au: 0.500 0.500 0.000
Tm: 0.500 0.500 0.500


Record 18
An optimized crystal structure of Lu3ThS, computed with PBE-GGA.

Properties
Fermi-level density of states ... 6.95 states/eV/cell
Total energy ... -27.9 eV/cell
Symmetry ... Pm-3m (221)
M_tot ... 0.0 Bohr magnetons per cell
Energy relative to the elements, uncorrected ... -0.5552 eV/atom

a b c (Å): 5.184 5.184 5.184
angles (deg): 90.00 90.00 90.00
Atoms (fractional coordinates):
Lu: 0.000 0.000 0.500
Lu: 0.000 0.500 0.000
Lu: 0.500 0.000 0.000
Th: 0.500 0.500 0.500
S: 0.000 0.000 0.000


Record 19
An optimized crystal structure of RbV, computed with PBE-GGA.

Properties
Fermi-level density of states ... 23.70 states/eV/cell
Total energy ... -59.5 eV/cell
Symmetry ... I4/m (87)
M_tot ... 4.0 Bohr magnetons per cell
E above lowest polymorph ... 498 meV per atom

a b c (Å): 15.369 15.369 3.093
angles (deg): 90.00 90.00 90.00
Atoms (fractional coordinates):
Rb: 0.753 0.975 0.500
Rb: 0.747 0.525 0.000
Rb: 0.253 0.475 0.000
Rb: 0.247 0.025 0.500
Rb: 0.025 0.753 0.500
Rb: 0.475 0.747 0.000
Rb: 0.525 0.253 0.000
Rb: 0.975 0.247 0.500
V: 0.802 0.750 0.000
V: 0.302 0.250 0.500
V: 0.250 0.698 0.500
V: 0.250 0.802 0.000
V: 0.750 0.198 0.000
V: 0.198 0.250 0.000
V: 0.698 0.750 0.500
V: 0.750 0.302 0.500


Record 20
An optimized crystal structure of Cs2Tb6Te7N2, computed with PBE-GGA.

Properties
Total energy ... -93.5 eV/cell
Symmetry ... C2/m (12)
M_tot ... 0.0 Bohr magnetons per cell
Energy relative to the elements, uncorrected ... -1.4907 eV/atom

a b c (Å): 12.356 12.356 11.492
angles (deg): 76.25 76.25 19.79
Atoms (fractional coordinates):
Tb: 0.785 0.785 0.130
Tb: 0.215 0.215 0.870
Tb: 0.591 0.591 0.865
Tb: 0.164 0.164 0.612
Tb: 0.836 0.836 0.388
Tb: 0.409 0.409 0.135
Te: 0.424 0.424 0.403
Te: 0.242 0.242 0.339
Te: 0.335 0.335 0.942
Te: 0.665 0.665 0.058
Te: 0.000 0.000 0.000
Te: 0.576 0.576 0.597
Te: 0.758 0.758 0.661
N: 0.137 0.137 0.807
N: 0.863 0.863 0.193
Cs: 0.065 0.065 0.300
Cs: 0.935 0.935 0.700